1.
Hf2BAs: optimized geometry, PBE-GGA.

Values from the calculation:
E_form ... -834 meV per atom
Volume ... 16.9 Å³/atom
Uncorrected energy ... -0.3176 Ha/atom
Magnetization ... 0.00 μB/f.u.
Energy above the most stable polymorph in this dataset ... 0.0 meV per atom
Fermi-level density of states ... 0.9 states/eV/f.u.
Theoretical density ... 10.892 g/cm³

Structure (POSCAR):
```
Hf2BAs
1.0
3.550 0.000 0.000
1.775 3.075 0.000
1.775 1.025 6.183
As B Hf
1 1 2
direct
0.500 0.500 0.500
0.000 0.000 0.000
0.263 0.263 0.211
0.737 0.737 0.789
```


2.
HfB3As: optimized geometry, PBE-GGA.

Values from the calculation:
E_form ... 1864 meV per atom
Volume ... 17.4 Å³/atom
Uncorrected energy ... -0.1861 Ha/atom
Magnetization ... 0.00 μB/f.u.
Energy above the most stable polymorph in this dataset ... 456.1 meV per atom
Fermi-level density of states ... 4.4 states/eV/f.u.
Theoretical density ... 5.469 g/cm³

Structure (POSCAR):
```
HfB3As
1.0
4.427 0.000 0.000
0.000 4.427 0.000
0.000 0.000 4.427
As B Hf
1 3 1
direct
0.500 0.500 0.500
0.000 0.500 0.000
0.000 0.000 0.500
0.500 0.000 0.000
0.000 0.000 0.000
```


3.
Hf7B2As2: optimized geometry, PBE-GGA.

Values from the calculation:
E_form ... -602 meV per atom
Volume ... 17.9 Å³/atom
Uncorrected energy ... -0.3306 Ha/atom
Magnetization ... 0.00 μB/f.u.
Fermi-level density of states ... 7.6 states/eV/f.u.
Theoretical density ... 11.988 g/cm³

Structure (POSCAR):
```
Hf7B2As2
1.0
3.498 0.000 0.000
1.749 7.956 -0.073
1.749 3.708 7.039
Hf B As
7 2 2
direct
0.817 0.086 0.281
0.847 0.412 0.894
0.500 0.017 0.983
0.628 0.477 0.268
0.372 0.732 0.523
0.183 0.719 0.914
0.153 0.106 0.588
0.749 0.851 0.651
0.251 0.349 0.149
0.000 0.756 0.244
0.500 0.348 0.652
```


4.
Hf4BAs: optimized geometry, PBE-GGA.

Values from the calculation:
E_form ... -374 meV per atom
Volume ... 20.7 Å³/atom
Uncorrected energy ... -0.3270 Ha/atom
Magnetization ... 0.00 μB/f.u.
Fermi-level density of states ... 3.8 states/eV/f.u.
Theoretical density ... 10.701 g/cm³

Structure (POSCAR):
```
Hf4BAs
1.0
-6.715 1.410 -0.392
1.664 -6.560 -1.198
1.949 1.398 6.441
Hf B As
8 2 2
direct
0.223 0.938 0.715
0.778 0.468 0.690
0.688 0.473 0.215
0.218 0.028 0.190
0.259 0.473 0.785
0.838 0.028 0.810
0.778 0.088 0.310
0.223 0.509 0.285
0.260 0.260 0.000
0.010 0.510 0.500
0.738 0.738 0.000
0.488 0.988 0.500
```


5.
HfBAs2: optimized geometry, PBE-GGA.

Values from the calculation:
E_form ... 3 meV per atom
Volume ... 17.1 Å³/atom
Uncorrected energy ... -0.2381 Ha/atom
Magnetization ... 0.00 μB/f.u.
Fermi-level density of states ... 1.8 states/eV/f.u.
Theoretical density ... 8.222 g/cm³

Structure (POSCAR):
```
HfBAs2
1.0
6.234 0.000 0.000
0.000 6.234 0.000
3.117 3.117 3.525
As B Hf
4 2 2
direct
0.540 0.125 0.250
0.210 0.625 0.250
0.375 0.460 0.750
0.875 0.790 0.750
0.500 0.500 0.000
0.250 0.750 0.500
0.000 0.000 0.000
0.750 0.250 0.500
```


6.
HfB2As: optimized geometry, PBE-GGA.

Values from the calculation:
E_form ... 252 meV per atom
Volume ... 13.5 Å³/atom
Uncorrected energy ... -0.2476 Ha/atom
Magnetization ... 0.00 μB/f.u.
Fermi-level density of states ... 0.3 states/eV/f.u.
Theoretical density ... 8.474 g/cm³

Structure (POSCAR):
```
HfB2As
1.0
5.905 0.000 0.000
0.000 5.905 0.000
2.952 2.952 3.092
As B Hf
2 4 2
direct
0.500 0.500 0.000
0.250 0.750 0.500
0.575 0.125 0.250
0.175 0.625 0.250
0.375 0.425 0.750
0.875 0.825 0.750
0.000 0.000 0.000
0.750 0.250 0.500
```


7.
KHfBAs2: optimized geometry, PBE-GGA.

Values from the calculation:
E_form ... 1181 meV per atom
Volume ... 35.1 Å³/atom
Uncorrected energy ... -0.1552 Ha/atom
Magnetization ... 0.45 μB/f.u.
Fermi-level density of states ... 5.0 states/eV/f.u.
Theoretical density ... 3.579 g/cm³

Structure (POSCAR):
```
KHfBAs2
1.0
-0.018 -2.296 -4.548
6.654 -1.087 0.522
-0.908 -4.474 2.262
As B Hf K
2 1 1 1
direct
0.000 0.000 0.500
0.500 0.000 0.000
0.500 0.500 0.500
0.000 0.000 0.000
0.000 0.500 0.000
```


8.
HfBAs2Se: optimized geometry, PBE-GGA.

Values from the calculation:
Volume ... 17.4 Å³/atom
Uncorrected energy ... -0.1997 Ha/atom
Magnetization ... 0.00 μB/f.u.
Energy above the most stable polymorph in this dataset ... 0.0 meV per atom
Fermi-level density of states ... 4.8 states/eV/f.u.
ΔE_f (raw) ... 0.45 eV/atom
Theoretical density ... 7.965 g/cm³

Structure (POSCAR):
```
HfBAs2Se
1.0
-0.457 3.152 3.074
0.081 -3.084 3.175
4.424 0.386 0.262
As B Hf Se
2 1 1 1
direct
0.000 0.500 0.000
0.500 0.000 0.000
0.000 0.000 0.000
0.500 0.500 0.500
0.000 0.000 0.500
```


9.
HfBAs2Se: optimized geometry, PBE-GGA.

Values from the calculation:
Volume ... 27.3 Å³/atom
Uncorrected energy ... -0.1815 Ha/atom
Magnetization ... 0.00 μB/f.u.
Energy above the most stable polymorph in this dataset ... 494.9 meV per atom
Fermi-level density of states ... 4.1 states/eV/f.u.
ΔE_f (raw) ... 0.94 eV/atom
Theoretical density ... 5.084 g/cm³

Structure (POSCAR):
```
HfBAs2Se
1.0
-2.024 -1.988 4.309
-2.008 -3.886 -2.736
4.275 -2.735 0.746
As B Hf Se
2 1 1 1
direct
0.000 0.500 0.000
0.500 0.000 0.000
0.500 0.500 0.500
0.000 0.000 0.000
0.000 0.000 0.500
```


10.
HfSiBAs2: optimized geometry, PBE-GGA.

Values from the calculation:
Volume ... 17.9 Å³/atom
Uncorrected energy ... -0.2094 Ha/atom
Magnetization ... 0.00 μB/f.u.
Fermi-level density of states ... 2.5 states/eV/f.u.
ΔE_f (raw) ... 0.57 eV/atom
Theoretical density ... 6.799 g/cm³

Structure (POSCAR):
```
HfSiBAs2
1.0
4.914 0.000 0.000
0.000 3.714 0.000
0.000 0.000 4.914
As B Hf Si
2 1 1 1
direct
0.000 0.000 0.500
0.500 0.000 0.000
0.000 0.500 0.000
0.500 0.500 0.500
0.000 0.000 0.000
```


11.
Hf2TiBAs: optimized geometry, PBE-GGA.

Values from the calculation:
E_form ... 794 meV per atom
Volume ... 19.9 Å³/atom
Uncorrected energy ... -0.2584 Ha/atom
Magnetization ... 0.51 μB/f.u.
Fermi-level density of states ... 4.6 states/eV/f.u.
Theoretical density ... 8.189 g/cm³

Structure (POSCAR):
```
Hf2TiBAs
1.0
-1.252 0.659 4.857
-1.337 -3.647 0.151
4.582 -1.622 1.401
As B Hf Ti
1 1 2 1
direct
0.000 0.000 0.000
0.000 0.500 0.000
0.000 0.000 0.500
0.500 0.000 0.000
0.500 0.500 0.500
```


12.
Hg3BAs: optimized geometry, PBE-GGA.

Values from the calculation:
E_form ... 779 meV per atom
Volume ... 21.3 Å³/atom
Uncorrected energy ... -0.0613 Ha/atom
Magnetization ... 1.29 μB/f.u.
Energy above the most stable polymorph in this dataset ... 0.0 meV per atom
Fermi-level density of states ... 2.7 states/eV/f.u.
Theoretical density ... 10.711 g/cm³

Structure (POSCAR):
```
Hg3BAs
1.0
4.741 0.000 0.000
0.000 4.741 0.000
0.000 0.000 4.741
As B Hg
1 1 3
direct
0.500 0.500 0.500
0.000 0.000 0.000
0.000 0.500 0.000
0.000 0.000 0.500
0.500 0.000 0.000
```